# 1
Cd2MoP | GGA-PBE | optimized geometry

Unit cell a=2.852 b=2.852 c=9.093 alpha=90.00 beta=90.00 gamma=90.00
Atoms (fractional coordinates):
Cd 0.000 0.000 0.756
Cd 0.000 0.000 0.244
Mo 0.500 0.500 0.000
P 0.500 0.500 0.500

Results
- total moment (μB/atom) = 0.000
- Fermi-level density of states (states/eV/atom) = 0.971
- volume (Å³ per cell) = 73.98
- energy relative to the elements (meV/atom) = 529
- VASP energy (eV per atom) = -3.99


# 2
B2SbAsSe | GGA-PBE | optimized geometry

Unit cell a=4.127 b=5.978 c=4.127 alpha=90.00 beta=90.00 gamma=90.00
Atoms (fractional coordinates):
Sb 0.000 0.500 0.000
As 0.000 0.000 0.000
B 0.000 0.000 0.500
B 0.500 0.000 0.000
Se 0.500 0.500 0.500

Results
- total moment (μB/atom) = 0.000
- Fermi-level density of states (states/eV/atom) = 0.740
- volume (Å³ per cell) = 101.84
- raw formation energy (meV/atom) = 1335.1
- VASP energy (eV per atom) = -3.79


# 3
LiMgP2 | GGA-PBE | optimized geometry

Unit cell a=3.494 b=3.494 c=5.266 alpha=90.00 beta=90.00 gamma=90.00
Atoms (fractional coordinates):
Li 0.500 0.500 0.250
Mg 0.500 0.500 0.750
P 0.000 0.000 0.044
P 0.000 0.000 0.456

Results
- total moment (μB/atom) = 0.000
- Fermi-level density of states (states/eV/atom) = 0.247
- volume (Å³ per cell) = 64.29
- energy relative to the elements (meV/atom) = -326
- VASP energy (eV per atom) = -3.91


# 4
TbPuPbO6 | GGA-PBE | optimized geometry

Unit cell a=5.848 b=5.848 c=10.126 alpha=90.00 beta=90.00 gamma=120.00
Site moments in Bohr magnetons follow the coordinates.
Atoms (fractional coordinates):
Tb 0.333 0.667 0.250  -0.01
Tb 0.667 0.333 0.750  -0.01
Pu 0.667 0.333 0.250  1.39
Pu 0.333 0.667 0.750  1.39
Pb 0.000 0.000 0.000  -0.01
Pb 0.000 0.000 0.500  -0.01
O 0.650 0.616 0.142  -0.06
O 0.966 0.350 0.142  -0.06
O 0.350 0.966 0.642  -0.06
O 0.034 0.650 0.858  -0.06
O 0.384 0.350 0.358  -0.06
O 0.966 0.616 0.358  -0.06
O 0.616 0.966 0.858  -0.06
O 0.650 0.034 0.358  -0.06
O 0.034 0.384 0.642  -0.06
O 0.384 0.034 0.142  -0.06
O 0.616 0.650 0.642  -0.06
O 0.350 0.384 0.858  -0.06

Results
- total moment (μB/atom) = 0.110
- volume (Å³ per cell) = 299.93
- raw formation energy (meV/atom) = -2403.5
- VASP energy (eV per atom) = -8.23


# 5
Th2MgP3 | GGA-PBE | optimized geometry

Unit cell a=4.093 b=4.093 c=9.131 alpha=102.95 beta=102.95 gamma=90.00
Atoms (fractional coordinates):
Th 0.339 0.339 0.678
Th 0.661 0.661 0.322
Mg 0.000 0.000 0.000
P 0.835 0.835 0.670
P 0.165 0.165 0.330
P 0.500 0.500 0.000

Results
- total moment (μB/atom) = 0.000
- Fermi-level density of states (states/eV/atom) = 0.194
- volume (Å³ per cell) = 145.12
- energy relative to the elements (meV/atom) = -1168
- VASP energy (eV per atom) = -6.61


# 6
Sc5Pb3 | GGA-PBE | optimized geometry

Unit cell a=8.551 b=8.551 c=6.176 alpha=90.00 beta=90.00 gamma=120.00
Atoms (fractional coordinates):
Pb 0.606 0.000 0.250
Pb 0.394 0.000 0.750
Pb 0.000 0.606 0.250
Pb 0.394 0.394 0.250
Pb 0.606 0.606 0.750
Pb 0.000 0.394 0.750
Sc 0.333 0.667 0.000
Sc 0.667 0.333 0.500
Sc 0.667 0.333 0.000
Sc 0.333 0.667 0.500
Sc 0.234 0.000 0.250
Sc 0.766 0.000 0.750
Sc 0.000 0.234 0.250
Sc 0.766 0.766 0.250
Sc 0.234 0.234 0.750
Sc 0.000 0.766 0.750

Results
- total moment (μB/atom) = 0.000
- Fermi-level density of states (states/eV/atom) = 0.632
- E above lowest polymorph (eV/atom) = 0.000
- volume (Å³ per cell) = 391.04
- energy relative to the elements (meV/atom) = -469
- VASP energy (eV per atom) = -5.82


# 7
MgRe2Br | GGA-PBE | optimized geometry

Unit cell a=4.483 b=4.483 c=4.483 alpha=60.00 beta=60.00 gamma=60.00
Atoms (fractional coordinates):
Re 0.250 0.250 0.250
Re 0.750 0.750 0.750
Mg 0.000 0.000 0.000
Br 0.500 0.500 0.500

Results
- total moment (μB/atom) = 0.000
- Fermi-level density of states (states/eV/atom) = 1.265
- E above lowest polymorph (eV/atom) = 1.276
- volume (Å³ per cell) = 63.72
- raw formation energy (meV/atom) = 1431.0
- VASP energy (eV per atom) = -5.61


# 8
LaNdPu | GGA-PBE | optimized geometry

Unit cell a=3.623 b=3.623 c=8.767 alpha=90.00 beta=90.00 gamma=120.00
Site moments in Bohr magnetons follow the coordinates.
Atoms (fractional coordinates):
La 0.000 0.000 0.991  0.03
Nd 0.667 0.333 0.343  0.02
Pu 0.333 0.667 0.667  5.66

Results
- total moment (μB/atom) = 2.099
- Fermi-level density of states (states/eV/atom) = 2.858
- E above lowest polymorph (eV/atom) = 0.018
- volume (Å³ per cell) = 99.65
- energy relative to the elements (meV/atom) = 145
- VASP energy (eV per atom) = -7.86


# 9
Mg2CoHg | GGA-PBE | optimized geometry

Unit cell a=4.359 b=4.360 c=3.647 alpha=90.00 beta=90.00 gamma=90.00
Site moments in Bohr magnetons follow the coordinates.
Atoms (fractional coordinates):
Co 0.500 0.000 0.500  1.22
Hg 0.000 0.500 0.500  -0.01
Mg 0.000 0.000 0.000  -0.01
Mg 0.500 0.500 0.000  -0.01

Results
- total moment (μB/atom) = 0.270
- Fermi-level density of states (states/eV/atom) = 0.590
- volume (Å³ per cell) = 69.33
- energy relative to the elements (meV/atom) = 45
- VASP energy (eV per atom) = -2.60


# 10
Ba2GaRhBr | GGA-PBE | optimized geometry

Unit cell a=6.078 b=4.878 c=6.078 alpha=90.00 beta=90.00 gamma=90.00
Site moments in Bohr magnetons follow the coordinates.
Atoms (fractional coordinates):
Ga 0.500 0.500 0.500  0.21
Rh 0.000 0.000 0.000  0.00
Ba 0.000 0.000 0.500  0.05
Ba 0.500 0.000 0.000  0.06
Br 0.000 0.500 0.000  0.03

Results
- total moment (μB/atom) = 0.228
- Fermi-level density of states (states/eV/atom) = 0.642
- E above lowest polymorph (eV/atom) = 0.563
- volume (Å³ per cell) = 180.19
- raw formation energy (meV/atom) = -277.6
- VASP energy (eV per atom) = -3.46


# 11
BaCaP2 | GGA-PBE | optimized geometry

Unit cell a=5.125 b=5.125 c=4.009 alpha=90.01 beta=90.01 gamma=79.04
Atoms (fractional coordinates):
Ba 0.500 0.000 0.500
Ca 0.000 0.500 0.500
P 0.000 0.000 0.000
P 0.500 0.500 0.000

Results
- total moment (μB/atom) = 0.000
- Fermi-level density of states (states/eV/atom) = 0.658
- E above lowest polymorph (eV/atom) = 0.293
- volume (Å³ per cell) = 103.39
- energy relative to the elements (meV/atom) = -604
- VASP energy (eV per atom) = -4.29


# 12
InAg3I | GGA-PBE | optimized geometry

Unit cell a=5.344 b=5.344 c=5.344 alpha=90.00 beta=90.00 gamma=90.00
Atoms (fractional coordinates):
I 0.500 0.500 0.500
Ag 0.000 0.500 0.000
Ag 0.000 0.000 0.500
Ag 0.500 0.000 0.000
In 0.000 0.000 0.000

Results
- total moment (μB/atom) = 0.000
- Fermi-level density of states (states/eV/atom) = 0.763
- E above lowest polymorph (eV/atom) = 0.000
- volume (Å³ per cell) = 152.62
- raw formation energy (meV/atom) = 521.0
- VASP energy (eV per atom) = -2.05


# 13
ScNb2ZnH | GGA-PBE | optimized geometry

Unit cell a=4.061 b=4.061 c=4.563 alpha=90.00 beta=90.00 gamma=90.00
Atoms (fractional coordinates):
Sc 0.000 0.000 0.500
H 0.000 0.000 0.000
Nb 0.000 0.500 0.000
Nb 0.500 0.000 0.000
Zn 0.500 0.500 0.500

Results
- total moment (μB/atom) = 0.000
- Fermi-level density of states (states/eV/atom) = 0.491
- volume (Å³ per cell) = 75.25
- VASP energy (eV per atom) = -6.36


# 14
LiThPa2N5 | GGA-PBE | optimized geometry

Unit cell a=3.557 b=6.799 c=10.854 alpha=90.00 beta=90.00 gamma=105.16
Atoms (fractional coordinates):
Li 0.466 0.931 0.028
Li 0.534 0.069 0.528
Th 0.854 0.709 0.460
Th 0.146 0.291 0.960
Pa 0.909 0.817 0.772
Pa 0.176 0.352 0.655
Pa 0.091 0.183 0.272
Pa 0.824 0.648 0.155
N 0.313 0.626 0.033
N 0.730 0.460 0.798
N 0.502 0.004 0.848
N 0.341 0.683 0.621
N 0.006 0.012 0.609
N 0.687 0.374 0.533
N 0.270 0.540 0.298
N 0.498 0.996 0.348
N 0.659 0.317 0.121
N 0.994 0.988 0.109

Results
- total moment (μB/atom) = 0.000
- volume (Å³ per cell) = 253.37
- raw formation energy (meV/atom) = -1314.1
- VASP energy (eV per atom) = -9.09


# 15
Hf5Zr4Sc2 | GGA-PBE | optimized geometry

Unit cell a=4.483 b=7.147 c=9.585 alpha=58.55 beta=103.52 gamma=90.00
Atoms (fractional coordinates):
Hf 0.864 0.087 0.728
Hf 0.136 0.913 0.272
Hf 0.770 0.825 0.540
Hf 0.500 0.000 0.000
Hf 0.230 0.175 0.460
Zr 0.318 0.451 0.636
Zr 0.953 0.356 0.907
Zr 0.682 0.549 0.364
Zr 0.047 0.644 0.093
Sc 0.408 0.733 0.815
Sc 0.592 0.267 0.185

Results
- total moment (μB/atom) = 0.000
- Fermi-level density of states (states/eV/atom) = 1.420
- volume (Å³ per cell) = 251.94
- energy relative to the elements (meV/atom) = 50
- VASP energy (eV per atom) = -8.73


# 16
ThTlAu | GGA-PBE | optimized geometry

Unit cell a=5.257 b=5.257 c=6.501 alpha=90.00 beta=90.00 gamma=119.98
Atoms (fractional coordinates):
Th 0.667 0.833 0.750
Th 0.333 0.167 0.250
Tl 0.000 0.500 0.000
Tl 0.000 0.500 0.500
Au 0.333 0.167 0.750
Au 0.667 0.833 0.250

Results
- total moment (μB/atom) = 0.000
- Fermi-level density of states (states/eV/atom) = 0.986
- volume (Å³ per cell) = 155.62
- energy relative to the elements (meV/atom) = -467
- VASP energy (eV per atom) = -4.82


# 17
Cd7GeN6 | GGA-PBE | optimized geometry

Unit cell a=5.963 b=5.963 c=13.705 alpha=90.00 beta=90.00 gamma=119.47
Atoms (fractional coordinates):
Cd 0.746 0.746 0.968
Cd 0.254 0.254 0.468
Cd 0.254 0.254 0.032
Cd 0.746 0.746 0.532
Cd 0.420 0.980 0.619
Cd 0.580 0.020 0.119
Cd 0.020 0.580 0.381
Cd 0.980 0.420 0.881
Cd 0.580 0.020 0.381
Cd 0.420 0.980 0.881
Cd 0.980 0.420 0.619
Cd 0.020 0.580 0.119
Cd 0.398 0.398 0.750
Cd 0.602 0.602 0.250
Ge 0.885 0.885 0.750
Ge 0.115 0.115 0.250
N 0.545 0.835 0.750
N 0.455 0.165 0.250
N 0.165 0.455 0.250
N 0.835 0.545 0.750
N 0.331 0.669 0.500
N 0.669 0.331 0.000
N 0.669 0.331 0.500
N 0.331 0.669 0.000
N 0.073 0.073 0.638
N 0.927 0.927 0.138
N 0.927 0.927 0.362
N 0.073 0.073 0.862

Results
- total moment (μB/atom) = 0.000
- Fermi-level density of states (states/eV/atom) = 0.290
- volume (Å³ per cell) = 424.29
- raw formation energy (meV/atom) = 484.8
- VASP energy (eV per atom) = -3.87


# 18
BaCo2Si | GGA-PBE | optimized geometry

Unit cell a=4.829 b=4.829 c=4.829 alpha=60.00 beta=60.00 gamma=60.00
Site moments in Bohr magnetons follow the coordinates.
Atoms (fractional coordinates):
Ba 0.500 0.500 0.500  0.02
Co 0.000 0.000 0.000  1.87
Co 0.250 0.250 0.250  1.92
Si 0.750 0.750 0.750  0.05

Results
- total moment (μB/atom) = 0.972
- Fermi-level density of states (states/eV/atom) = 1.509
- volume (Å³ per cell) = 79.64
- raw formation energy (meV/atom) = 883.2
- VASP energy (eV per atom) = -4.51


# 19
ScZnSnPt | GGA-PBE | optimized geometry

Unit cell a=4.697 b=4.697 c=4.697 alpha=60.00 beta=60.00 gamma=60.00
Atoms (fractional coordinates):
Sc 0.000 0.000 0.000
Zn 0.250 0.250 0.250
Sn 0.500 0.500 0.500
Pt 0.750 0.750 0.750

Results
- total moment (μB/atom) = 0.000
- Fermi-level density of states (states/eV/atom) = 0.601
- volume (Å³ per cell) = 73.26
- energy relative to the elements (meV/atom) = -620
- VASP energy (eV per atom) = -5.03


# 20
Bi2RuPtO8 | GGA-PBE | optimized geometry

Unit cell a=4.979 b=4.912 c=6.664 alpha=90.00 beta=90.00 gamma=91.05
Site moments in Bohr magnetons follow the coordinates.
Atoms (fractional coordinates):
Bi 0.500 0.500 0.749  0.00
Bi 0.500 0.500 0.251  0.00
Ru 0.000 0.000 0.000  0.20
Pt 0.000 0.000 0.500  -0.01
O 0.139 0.799 0.246  0.00
O 0.690 0.779 0.000  0.01
O 0.861 0.201 0.246  0.00
O 0.861 0.201 0.754  0.00
O 0.310 0.221 0.000  0.01
O 0.139 0.799 0.754  0.00
O 0.680 0.740 0.500  -0.01
O 0.320 0.260 0.500  -0.01

Results
- total moment (μB/atom) = 0.019
- Fermi-level density of states (states/eV/atom) = 0.316
- volume (Å³ per cell) = 162.95
- raw formation energy (meV/atom) = -826.2
- VASP energy (eV per atom) = -6.05


# 21
Y2Cd | GGA-PBE | optimized geometry

Unit cell a=4.831 b=4.831 c=14.810 alpha=99.39 beta=99.39 gamma=90.00
Site moments in Bohr magnetons follow the coordinates.
Atoms (fractional coordinates):
Y 0.252 0.252 0.504  0.09
Y 0.748 0.748 0.496  0.09
Y 0.502 0.002 0.004  0.09
Y 0.998 0.498 0.996  0.09
Y 0.414 0.414 0.828  0.13
Y 0.586 0.586 0.172  0.13
Y 0.664 0.164 0.328  0.13
Y 0.836 0.336 0.672  0.13
Cd 0.083 0.083 0.165  0.00
Cd 0.917 0.917 0.835  0.00
Cd 0.333 0.833 0.665  0.00
Cd 0.167 0.667 0.335  0.00

Results
- total moment (μB/atom) = 0.129
- Fermi-level density of states (states/eV/atom) = 1.331
- volume (Å³ per cell) = 336.29
- energy relative to the elements (meV/atom) = -131
- VASP energy (eV per atom) = -4.75